Record 1
Here is a relaxed Cs2LiZr3S8 crystal from Alexandria via LeMat-Bulk. Energies are from PBE.

Cell lengths 7.4764, 7.4764, 9.6914 Å; angles 67.31, 67.31, 60.00 degrees
Element x y z (fractional)
Cs: 0.4894 0.4894 0.5318
Cs: 0.1404 0.1404 0.5789
Zr: 0.4906 0.9850 0.0338
Zr: 0.9850 0.4906 0.0338
Zr: 0.4906 0.4906 0.0338
S: 0.6989 0.2165 0.8681
S: 0.7602 0.2783 0.2014
S: 0.7133 0.7133 0.8601
S: 0.2672 0.2672 0.1984
S: 0.2783 0.7602 0.2014
S: 0.2165 0.2165 0.8681
S: 0.7602 0.7602 0.2014
S: 0.2165 0.6989 0.8681
Li: 0.9857 0.9857 0.0429

energy relative to the elements, uncorrected = -1.389 eV per atom
density of states at the Fermi level = 0.50 states/eV per atom
SG = No. 160
volume = 420.04 Å³/cell
E_tot = -5.838 eV per atom
crystal system = trigonal

Record 2
Here is a relaxed CsLi4Sb4 crystal from Alexandria via LeMat-Bulk. Energies are from PBE.

Cell lengths 5.5369, 9.8108, 9.8108 Å; angles 90.00, 90.00, 90.00 degrees
Element x y z (fractional)
Li: 0.1192 0.8584 0.3632
Li: 0.6192 0.8632 0.6416
Li: 0.6192 0.1368 0.3584
Li: 0.1192 0.1416 0.6368
Li: 0.3808 0.3584 0.8632
Li: 0.3808 0.6416 0.1368
Li: 0.8808 0.3632 0.1416
Li: 0.8808 0.6368 0.8584
Sb: 0.1168 0.8291 0.6567
Sb: 0.6168 0.1567 0.6709
Sb: 0.1168 0.1709 0.3433
Sb: 0.6168 0.8433 0.3291
Sb: 0.3832 0.3291 0.1567
Sb: 0.3832 0.6709 0.8433
Sb: 0.8832 0.6567 0.1709
Sb: 0.8832 0.3433 0.8291
Cs: 0.5000 0.5000 0.5000
Cs: 0.0000 0.0000 0.0000

energy relative to the elements, uncorrected = -0.347 eV per atom
density of states at the Fermi level = 0.40 states/eV per atom
SG = No. 86
volume = 532.94 Å³/cell
E_tot = -3.125 eV per atom
crystal system = tetragonal

Record 3
Here is a relaxed CsLiSb crystal from Alexandria via LeMat-Bulk. Energies are from PBE.

Cell lengths 5.1502, 5.1502, 9.2100 Å; angles 106.24, 106.24, 90.00 degrees
Element x y z (fractional)
Sb: 0.0878 0.0878 0.1756
Sb: 0.9122 0.9122 0.8244
Cs: 0.3228 0.3228 0.6456
Cs: 0.6772 0.6772 0.3544
Li: 0.0000 0.5000 0.0000
Li: 0.5000 0.0000 0.0000

energy relative to the elements, uncorrected = -0.443 eV per atom
density of states at the Fermi level = 0.20 states/eV per atom
SG = No. 139
volume = 224.39 Å³/cell
E_tot = -2.740 eV per atom
crystal system = tetragonal

Record 4
Here is a relaxed CsLi2Sb crystal from Alexandria via LeMat-Bulk. Energies are from PBE.

Cell lengths 4.8300, 4.8300, 6.6433 Å; angles 89.38, 89.38, 60.06 degrees
Element x y z (fractional)
Cs: 0.3820 0.3820 0.5011
Sb: 0.7063 0.7063 0.9988
Li: 0.0395 0.0395 0.9988
Li: 0.3722 0.3722 0.0013

energy relative to the elements, uncorrected = -0.547 eV per atom
SG = No. 8
volume = 134.30 Å³/cell
E_tot = -2.748 eV per atom
crystal system = monoclinic

Record 5
Here is a relaxed CsLi2Sb crystal from Alexandria via LeMat-Bulk. Energies are from PBE.

Cell lengths 6.1489, 6.1489, 9.5379 Å; angles 71.20, 71.20, 90.00 degrees
Element x y z (fractional)
Li: 0.3741 0.6250 0.2500
Li: 0.8750 0.6259 0.7500
Li: 0.3750 0.6241 0.7500
Li: 0.3759 0.1250 0.2500
Sb: 0.2500 0.7500 0.5000
Sb: 0.5000 0.5000 0.0000
Cs: 0.7500 0.2500 0.5000
Cs: 0.0000 0.0000 0.0000

energy relative to the elements, uncorrected = -0.402 eV per atom
density of states at the Fermi level = 0.00 states/eV per atom
SG = No. 122
volume = 320.97 Å³/cell
E_tot = -2.603 eV per atom
crystal system = tetragonal

Record 6
Here is a relaxed Cs2LiSb crystal from Alexandria via LeMat-Bulk. Energies are from PBE.

Cell lengths 6.8393, 7.3901, 7.3901 Å; angles 105.76, 90.00, 90.00 degrees
Element x y z (fractional)
Li: 0.0000 0.5000 0.5000
Li: 0.5000 0.5000 0.5000
Cs: 0.2500 0.3085 0.9742
Cs: 0.2500 0.9742 0.3085
Cs: 0.7500 0.6915 0.0258
Cs: 0.7500 0.0258 0.6915
Sb: 0.2500 0.7362 0.7362
Sb: 0.7500 0.2638 0.2638

energy relative to the elements, uncorrected = -0.461 eV per atom
SG = No. 63
volume = 359.48 Å³/cell
E_tot = -2.397 eV per atom
crystal system = orthorhombic

Record 7
Here is a relaxed CsLiSb crystal from Alexandria via LeMat-Bulk. Energies are from PBE.

Cell lengths 4.1094, 5.5109, 5.5109 Å; angles 120.00, 90.00, 90.00 degrees
Element x y z (fractional)
Li: 0.1670 0.6667 0.3333
Sb: 0.1665 0.0000 0.0000
Cs: 0.6665 0.3333 0.6667

energy relative to the elements, uncorrected = -0.240 eV per atom
density of states at the Fermi level = 1.09 states/eV per atom
SG = No. 187
volume = 108.08 Å³/cell
E_tot = -2.537 eV per atom
crystal system = hexagonal

Record 8
Here is a relaxed Cs2LiSb crystal from Alexandria via LeMat-Bulk. Energies are from PBE.

Cell lengths 6.4346, 6.4346, 6.4346 Å; angles 60.00, 60.00, 60.00 degrees
Element x y z (fractional)
Cs: 0.2500 0.2500 0.2500
Cs: 0.7500 0.7500 0.7500
Sb: 0.5000 0.5000 0.5000
Li: 0.0000 0.0000 0.0000

energy relative to the elements, uncorrected = -0.051 eV per atom
density of states at the Fermi level = 1.72 states/eV per atom
SG = No. 225
volume = 188.39 Å³/cell
E_tot = -1.987 eV per atom
crystal system = cubic

Record 9
Here is a relaxed CsLi2Sb crystal from Alexandria via LeMat-Bulk. Energies are from PBE.

Cell lengths 4.8389, 4.8389, 7.0741 Å; angles 70.00, 70.00, 60.00 degrees
Element x y z (fractional)
Sb: 0.5000 0.5000 0.5000
Cs: 0.0000 0.0000 0.0000
Li: 0.8192 0.8192 0.5424
Li: 0.1808 0.1808 0.4576

energy relative to the elements, uncorrected = -0.565 eV per atom
SG = No. 166
volume = 131.79 Å³/cell
E_tot = -2.766 eV per atom
crystal system = trigonal

Record 10
Here is a relaxed CsLiSb crystal from Alexandria via LeMat-Bulk. Energies are from PBE.

Cell lengths 5.4660, 5.4660, 13.0076 Å; angles 70.62, 70.62, 55.75 degrees
Element x y z (fractional)
Sb: 0.4766 0.4766 0.8968
Sb: 0.5234 0.5234 0.1032
Cs: 0.7447 0.7447 0.2772
Cs: 0.2553 0.2553 0.7228
Li: 0.8280 0.8280 0.9543
Li: 0.1720 0.1720 0.0457

energy relative to the elements, uncorrected = -0.407 eV per atom
density of states at the Fermi level = 0.29 states/eV per atom
SG = No. 12
volume = 297.76 Å³/cell
E_tot = -2.703 eV per atom
crystal system = monoclinic

Record 11
Here is a relaxed Cs2LiSb crystal from Alexandria via LeMat-Bulk. Energies are from PBE.

Cell lengths 5.3269, 5.3269, 13.2210 Å; angles 78.38, 78.38, 90.00 degrees
Element x y z (fractional)
Li: 0.2500 0.7500 0.5000
Li: 0.5000 0.5000 0.0000
Cs: 0.8750 0.8674 0.7500
Cs: 0.6174 0.1250 0.2500
Cs: 0.3750 0.3826 0.7500
Cs: 0.1326 0.6250 0.2500
Sb: 0.0000 0.0000 0.0000
Sb: 0.7500 0.2500 0.5000

energy relative to the elements, uncorrected = 0.080 eV per atom
density of states at the Fermi level = 0.12 states/eV per atom
SG = No. 122
volume = 359.61 Å³/cell
E_tot = -1.856 eV per atom
crystal system = tetragonal

Record 12
Here is a relaxed CsLi3Sb crystal from Alexandria via LeMat-Bulk. Energies are from PBE.

Cell lengths 5.4448, 5.4448, 5.4448 Å; angles 90.00, 90.00, 90.00 degrees
Element x y z (fractional)
Li: 0.5000 0.0000 0.0000
Li: 0.0000 0.5000 0.0000
Li: 0.0000 0.0000 0.5000
Cs: 0.5000 0.5000 0.5000
Sb: 0.0000 0.0000 0.0000

energy relative to the elements, uncorrected = -0.307 eV per atom
density of states at the Fermi level = 0.52 states/eV per atom
SG = No. 221
volume = 161.42 Å³/cell
E_tot = -2.450 eV per atom
crystal system = cubic

Record 13
Here is a relaxed CsLiSb crystal from Alexandria via LeMat-Bulk. Energies are from PBE.

Cell lengths 3.5945, 6.3395, 18.5999 Å; angles 90.00, 90.00, 90.00 degrees
Element x y z (fractional)
Sb: 0.2502 0.0046 0.6450
Sb: 0.7502 0.4954 0.3550
Sb: 0.2498 0.9954 0.1450
Sb: 0.7498 0.5046 0.8550
Cs: 0.7498 0.5006 0.5715
Cs: 0.2498 0.9994 0.4285
Cs: 0.7502 0.4994 0.0715
Cs: 0.2502 0.0006 0.9285
Li: 0.7505 0.8069 0.7453
Li: 0.7495 0.1931 0.2453
Li: 0.2495 0.3069 0.7547
Li: 0.2505 0.6931 0.2547

energy relative to the elements, uncorrected = -0.365 eV per atom
density of states at the Fermi level = 0.42 states/eV per atom
SG = No. 62
volume = 423.84 Å³/cell
E_tot = -2.662 eV per atom
crystal system = orthorhombic

Record 14
Here is a relaxed Cs2Li2Sb crystal from Alexandria via LeMat-Bulk. Energies are from PBE.

Cell lengths 7.7279, 7.7279, 6.3621 Å; angles 90.00, 90.00, 90.00 degrees
Element x y z (fractional)
Cs: 0.2072 0.7072 0.5000
Cs: 0.2928 0.2072 0.5000
Cs: 0.7928 0.2928 0.5000
Cs: 0.7072 0.7928 0.5000
Li: 0.1755 0.3245 0.0000
Li: 0.6755 0.1755 0.0000
Li: 0.8245 0.6755 0.0000
Li: 0.3245 0.8245 0.0000
Sb: 0.5000 0.5000 0.0000
Sb: 0.0000 0.0000 0.0000

energy relative to the elements, uncorrected = -0.221 eV per atom
density of states at the Fermi level = 0.44 states/eV per atom
SG = No. 127
volume = 379.95 Å³/cell
E_tot = -2.153 eV per atom
crystal system = tetragonal

Record 15
Here is a relaxed CsLi3Sb crystal from Alexandria via LeMat-Bulk. Energies are from PBE.

Cell lengths 5.3446, 5.3446, 5.3446 Å; angles 90.00, 90.00, 90.00 degrees
Element x y z (fractional)
Cs: 0.0000 0.0000 0.0000
Sb: 0.5000 0.5000 0.5000
Li: 0.0000 0.0000 0.5000
Li: 0.0000 0.5000 0.0000
Li: 0.5000 0.0000 0.0000

energy relative to the elements, uncorrected = 0.721 eV per atom
density of states at the Fermi level = 0.98 states/eV per atom
SG = No. 221
volume = 152.67 Å³/cell
E_tot = -1.423 eV per atom
crystal system = cubic

Record 16
Here is a relaxed Cs2Li2Sb crystal from Alexandria via LeMat-Bulk. Energies are from PBE.

Cell lengths 4.8664, 4.8664, 11.7370 Å; angles 78.04, 78.04, 60.00 degrees
Element x y z (fractional)
Li: 0.6755 0.6755 0.9735
Li: 0.3245 0.3245 0.0265
Sb: 0.0000 0.0000 0.0000
Cs: 0.5715 0.5715 0.2855
Cs: 0.4285 0.4285 0.7145

energy relative to the elements, uncorrected = -0.427 eV per atom
density of states at the Fermi level = 0.40 states/eV per atom
SG = No. 166
volume = 233.72 Å³/cell
E_tot = -2.358 eV per atom
crystal system = trigonal

Record 17
Here is a relaxed Cs2Li2SbSe4 crystal from Alexandria via LeMat-Bulk. Energies are from PBE.

Cell lengths 4.3175, 8.1400, 8.3137 Å; angles 108.73, 90.00, 105.38 degrees
Element x y z (fractional)
Se: 0.1895 0.3790 0.1568
Se: 0.5186 0.0371 0.7845
Se: 0.8105 0.6210 0.8432
Se: 0.4814 0.9629 0.2155
Cs: 0.8612 0.7223 0.4430
Cs: 0.1388 0.2777 0.5570
Li: 0.6820 0.3640 0.9933
Li: 0.3180 0.6360 0.0067
Sb: 0.0000 0.0000 0.0000

energy relative to the elements, uncorrected = -0.898 eV per atom
density of states at the Fermi level = 0.55 states/eV per atom
SG = No. 12
volume = 265.64 Å³/cell
E_tot = -3.520 eV per atom
crystal system = monoclinic

Record 18
Here is a relaxed CsLiSbSe crystal from Alexandria via LeMat-Bulk. Energies are from PBE.

Cell lengths 4.2930, 4.2930, 14.3735 Å; angles 90.00, 90.00, 90.00 degrees
Element x y z (fractional)
Sb: 0.2500 0.7500 0.5000
Sb: 0.7500 0.2500 0.5000
Se: 0.2500 0.2500 0.1014
Se: 0.7500 0.7500 0.8986
Cs: 0.2500 0.2500 0.7654
Cs: 0.7500 0.7500 0.2346
Li: 0.7500 0.2500 0.0000
Li: 0.2500 0.7500 0.0000

energy relative to the elements, uncorrected = -0.792 eV per atom
density of states at the Fermi level = 0.89 states/eV per atom
SG = No. 129
volume = 264.91 Å³/cell
E_tot = -3.386 eV per atom
crystal system = tetragonal

Record 19
Here is a relaxed CsLiSbSe2 crystal from Alexandria via LeMat-Bulk. Energies are from PBE.

Cell lengths 4.1823, 8.2533, 8.7383 Å; angles 90.02, 90.00, 90.00 degrees
Element x y z (fractional)
Li: 0.0000 0.0000 0.5000
Li: 0.0000 0.0000 0.0000
Cs: 0.0002 0.5000 0.2500
Cs: 0.9998 0.5000 0.7500
Sb: 0.5000 0.0000 0.2500
Sb: 0.5000 0.0000 0.7500
Se: 0.5000 0.2275 0.0001
Se: 0.5000 0.2275 0.5001
Se: 0.5000 0.7725 0.4999
Se: 0.5000 0.7725 0.9999

energy relative to the elements, uncorrected = -0.759 eV per atom
density of states at the Fermi level = 0.13 states/eV per atom
SG = No. 47
volume = 301.62 Å³/cell
E_tot = -3.531 eV per atom
crystal system = orthorhombic

Record 20
Here is a relaxed CsLiSbSe3 crystal from Alexandria via LeMat-Bulk. Energies are from PBE.

Cell lengths 7.3608, 7.4015, 7.8346 Å; angles 118.19, 90.00, 90.00 degrees
Element x y z (fractional)
Cs: 0.2500 0.7634 0.5268
Cs: 0.7500 0.2366 0.4732
Se: 0.0000 0.2311 0.0000
Se: 0.5000 0.2311 0.0000
Se: 0.7500 0.7313 0.4627
Se: 0.0000 0.7689 0.0000
Se: 0.2500 0.2687 0.5373
Se: 0.5000 0.7689 0.0000
Li: 0.7500 0.9233 0.8467
Li: 0.2500 0.0767 0.1533
Sb: 0.2500 0.4505 0.9011
Sb: 0.7500 0.5495 0.0989

energy relative to the elements, uncorrected = -0.742 eV per atom
density of states at the Fermi level = 0.17 states/eV per atom
SG = No. 63
volume = 376.22 Å³/cell
E_tot = -3.633 eV per atom
crystal system = orthorhombic

Record 21
Here is a relaxed CsLiSbTe3 crystal from Alexandria via LeMat-Bulk. Energies are from PBE.

Cell lengths 4.7030, 10.3873, 10.8030 Å; angles 119.92, 90.00, 90.00 degrees
Element x y z (fractional)
Te: 0.7500 0.4863 0.1611
Te: 0.2500 0.1068 0.8232
Te: 0.2500 0.5137 0.8389
Te: 0.2500 0.8079 0.4945
Te: 0.7500 0.1921 0.5055
Te: 0.7500 0.8932 0.1768
Sb: 0.7500 0.3189 0.8359
Sb: 0.2500 0.6811 0.1641
Li: 0.2500 0.1055 0.5646
Li: 0.7500 0.8945 0.4354
Cs: 0.7500 0.7631 0.7585
Cs: 0.2500 0.2369 0.2415

energy relative to the elements, uncorrected = -0.561 eV per atom
density of states at the Fermi level = 0.31 states/eV per atom
SG = No. 11
volume = 457.39 Å³/cell
E_tot = -3.281 eV per atom
crystal system = monoclinic

Record 22
Here is a relaxed CsLiSbTe crystal from Alexandria via LeMat-Bulk. Energies are from PBE.

Cell lengths 4.3855, 4.3855, 15.1423 Å; angles 90.00, 90.00, 90.00 degrees
Element x y z (fractional)
Te: 0.2500 0.2500 0.1134
Te: 0.7500 0.7500 0.8866
Cs: 0.2500 0.2500 0.7425
Cs: 0.7500 0.7500 0.2575
Li: 0.2500 0.7500 0.0000
Li: 0.7500 0.2500 0.0000
Sb: 0.7500 0.2500 0.5000
Sb: 0.2500 0.7500 0.5000

energy relative to the elements, uncorrected = -0.661 eV per atom
density of states at the Fermi level = 0.76 states/eV per atom
SG = No. 129
volume = 291.22 Å³/cell
E_tot = -3.169 eV per atom
crystal system = tetragonal

Record 23
Here is a relaxed CsLiSb2Te4 crystal from Alexandria via LeMat-Bulk. Energies are from PBE.

Cell lengths 4.5365, 7.9968, 16.2437 Å; angles 90.00, 90.00, 106.48 degrees
Element x y z (fractional)
Sb: 0.3667 0.7334 0.5623
Sb: 0.3667 0.7334 0.9377
Sb: 0.6333 0.2666 0.4377
Sb: 0.6333 0.2666 0.0623
Te: 0.2618 0.5236 0.1010
Te: 0.7382 0.4764 0.6010
Te: 0.4178 0.8355 0.7500
Te: 0.7382 0.4764 0.8990
Te: 0.5822 0.1645 0.2500
Te: 0.2618 0.5236 0.3990
Te: 0.0000 0.0000 0.0000
Te: 0.0000 0.0000 0.5000
Cs: 0.8926 0.7852 0.2500
Cs: 0.1074 0.2148 0.7500
Li: 0.8294 0.6588 0.7500
Li: 0.1706 0.3412 0.2500

energy relative to the elements, uncorrected = -0.454 eV per atom
SG = No. 63
volume = 565.08 Å³/cell
E_tot = -3.402 eV per atom
crystal system = orthorhombic

Record 24
Here is a relaxed CsLiSb2Te crystal from Alexandria via LeMat-Bulk. Energies are from PBE.

Cell lengths 6.3246, 6.3246, 6.5807 Å; angles 90.00, 90.00, 90.00 degrees
Element x y z (fractional)
Li: 0.5000 0.5000 0.5000
Sb: 0.0000 0.5000 0.0000
Sb: 0.5000 0.0000 0.0000
Te: 0.0000 0.0000 0.5000
Cs: 0.0000 0.0000 0.0000

energy relative to the elements, uncorrected = 1.019 eV per atom
density of states at the Fermi level = 1.30 states/eV per atom
SG = No. 123
volume = 263.23 Å³/cell
E_tot = -1.811 eV per atom
crystal system = tetragonal